No. 1
A geometry-optimized Na2LiCd structure, computed with GGA-PBE.

Unit cell a=3.670 b=6.046 c=10.491 alpha=76.19 beta=80.09 gamma=72.36
Atoms (fractional coordinates):
1 Na 0.105 0.192 0.095
2 Na 0.330 0.603 0.234
3 Na 0.670 0.397 0.766
4 Na 0.895 0.808 0.905
5 Li 0.132 0.699 0.537
6 Li 0.868 0.301 0.463
7 Cd 0.422 0.015 0.644
8 Cd 0.578 0.985 0.356

Values from the calculation:
V = 214 Å³/cell
energy relative to the elements = -0.074 eV per atom
space group = P-1
E = -1.440 eV per atom


No. 2
A geometry-optimized Zn2TcAsRh structure, computed with GGA-PBE.

Unit cell a=4.758 b=4.758 c=4.649 alpha=90.00 beta=90.00 gamma=90.00
Atoms (fractional coordinates):
1 Zn 0.000 0.500 0.000
2 Zn 0.500 0.000 0.000
3 Tc 0.000 0.000 0.000
4 As 0.500 0.500 0.500
5 Rh 0.000 0.000 0.500

Values from the calculation:
V = 105 Å³/cell
energy relative to the elements = 1.032 eV per atom
space group = P4/mmm
E = -3.951 eV per atom


No. 3
A geometry-optimized Rb2NpTe4Au structure, computed with GGA-PBE.

Unit cell a=15.386 b=13.725 c=8.429 alpha=84.37 beta=62.59 gamma=33.04
Atoms (fractional coordinates):
1 Rb 0.056 0.056 0.694
2 Rb 0.306 0.306 0.944
3 Rb 0.694 0.694 0.056
4 Rb 0.944 0.944 0.306
5 Np 0.125 0.125 0.125
6 Np 0.875 0.875 0.875
7 Te 0.031 0.330 0.443
8 Te 0.305 0.557 0.670
9 Te 0.330 0.031 0.695
10 Te 0.443 0.695 0.031
11 Te 0.557 0.305 0.969
12 Te 0.670 0.969 0.305
13 Te 0.695 0.443 0.330
14 Te 0.969 0.670 0.557
15 Au 0.375 0.375 0.375
16 Au 0.625 0.625 0.625

Values from the calculation:
V = 693 Å³/cell
space group = Fddd
uncorrected formation energy = -0.52 eV/atom
E = -4.361 eV per atom


No. 4
A geometry-optimized SrLaB structure, computed with GGA-PBE.

Unit cell a=4.906 b=4.906 c=7.237 alpha=90.00 beta=90.00 gamma=120.00
Atoms (fractional coordinates):
1 Sr 0.000 0.000 0.000
2 Sr 0.000 0.000 0.500
3 La 0.333 0.667 0.250
4 La 0.667 0.333 0.750
5 B 0.333 0.667 0.750
6 B 0.667 0.333 0.250

Values from the calculation:
V = 151 Å³/cell
energy relative to the elements = 0.438 eV per atom
space group = P6_3/mmc
energy relative to the lowest polymorph listed for this composition = 0.4177 eV/atom
E = -3.991 eV per atom